1.
Material: Cs2NpSeO6
Method: DFT, PBE
State: optimized geometry

The value obtained for the total energy is -66.13 eV/cell. Its energy relative to the elements, uncorrected is -1.82 eV/atom. Its space-group type is I4/mmm.

abc: 5.823 5.823 7.002
angles: 65.43 65.43 90.00
Last column: magnetic moment on the atom in μB.
Fractional positions:
Cs1 0.750 0.250 0.500  0.00
Cs2 0.250 0.750 0.500  0.00
Np1 0.000 0.000 0.000  0.17
Se1 0.500 0.500 0.000  0.00
O1 0.166 0.166 0.667  -0.01
O2 0.741 0.740 0.000  -0.01
O3 0.259 0.741 0.000  -0.01
O4 0.741 0.259 0.000  -0.01
O5 0.259 0.260 0.000  -0.01
O6 0.834 0.834 0.333  -0.01

2.
Material: Ac2PmY6
Method: DFT, PBE
State: optimized geometry

The value obtained for the total energy is -50.67 eV/cell. The value obtained for the energy of formation is 1.08 eV per formula unit. Its space-group type is P2/m.

abc: 3.656 8.852 10.167
angles: 101.76 90.00 90.00
Fractional positions:
Ac1 0.500 0.694 0.464
Ac2 0.500 0.306 0.536
Pm1 0.000 0.000 0.000
Y1 0.000 0.377 0.217
Y2 0.000 0.019 0.675
Y3 0.000 0.623 0.783
Y4 0.500 0.319 0.901
Y5 0.000 0.981 0.325
Y6 0.500 0.681 0.099

3.
Material: Sc3Pa2C4
Method: DFT, PBE
State: optimized geometry

The value obtained for the total energy is -78.57 eV/cell. The value obtained for the energy of formation is -3.69 eV per formula unit. Its space-group type is C2/m.

abc: 3.383 5.787 7.811
angles: 71.90 77.50 73.01
Fractional positions:
Sc1 0.000 0.000 0.000
Sc2 0.219 0.389 0.174
Sc3 0.781 0.611 0.826
Pa1 0.588 0.222 0.602
Pa2 0.412 0.778 0.398
C1 0.810 0.071 0.308
C2 0.190 0.929 0.692
C3 0.401 0.309 0.890
C4 0.599 0.691 0.110

4.
Material: AcEr3Sb4
Method: DFT, PBE
State: optimized geometry

The value obtained for the total energy is -42.96 eV/cell. Its energy relative to the elements, uncorrected is -1.08 eV/atom. Its space-group type is Cmmm.

abc: 4.475 7.742 7.742
angles: 70.58 90.00 90.00
Fractional positions:
Sb1 0.000 0.767 0.733
Sb2 0.500 0.759 0.258
Sb3 0.000 0.233 0.267
Sb4 0.500 0.242 0.742
Ac1 0.500 0.500 0.000
Er1 0.500 0.000 0.500
Er2 0.000 0.000 0.000
Er3 0.000 0.500 0.500

5.
Material: HfZr3Br
Method: DFT, PBE
State: optimized geometry

The value obtained for the total energy is -35.63 eV/cell. The calculation puts the excess energy over the best structure of this formula in the dataset at 0.000 eV/atom. Its energy relative to the elements, uncorrected is 0.33 eV/atom. Its space-group type is Pm-3m.

abc: 4.972 4.972 4.972
angles: 90.00 90.00 90.00
Fractional positions:
Hf1 0.500 0.500 0.500
Br1 0.000 0.000 0.000
Zr1 0.000 0.500 0.000
Zr2 0.000 0.000 0.500
Zr3 0.500 0.000 0.000

6.
Material: SrCeTlAg
Method: DFT, PBE
State: optimized geometry

The value obtained for the total energy is -13.62 eV/cell. The value obtained for the energy of formation is -0.79 eV per formula unit. Its space-group type is F-43m.

abc: 5.526 5.526 5.526
angles: 60.00 60.00 60.00
Last column: magnetic moment on the atom in μB.
Fractional positions:
Sr1 0.500 0.500 0.500  0.00
Tl1 0.750 0.750 0.750  0.00
Ag1 0.250 0.250 0.250  0.00
Ce1 0.000 0.000 0.000  0.82

7.
Material: LaIn2Au
Method: DFT, PBE
State: optimized geometry

The value obtained for the total energy is -15.71 eV/cell. The value obtained for the energy of formation is -2.03 eV per formula unit. Its space-group type is I-4m2.

abc: 5.221 5.221 5.221
angles: 119.45 119.45 90.96
Fractional positions:
In1 0.000 0.000 0.000
In2 0.250 0.750 0.500
Au1 0.750 0.250 0.500
La1 0.500 0.500 0.000

8.
Material: Sc2CoSi3
Method: DFT, PBE
State: optimized geometry

The value obtained for the total energy is -40.21 eV/cell. The calculation puts the excess energy over the best structure of this formula in the dataset at 0.000 eV/atom. Its energy relative to the elements, uncorrected is -0.70 eV/atom. Its space-group type is Cm.

abc: 3.991 5.165 5.288
angles: 75.76 67.83 67.28
Fractional positions:
Sc1 0.549 0.189 0.714
Sc2 0.436 0.812 0.316
Co1 0.167 0.396 0.271
Si1 0.869 0.600 0.662
Si2 0.814 0.245 0.126
Si3 0.165 0.759 0.910

9.
Material: Er2HfSi3Pt4
Method: DFT, PBE
State: optimized geometry

The value obtained for the total energy is -70.20 eV/cell. Its energy relative to the elements, uncorrected is -1.07 eV/atom. Its space-group type is P-4m2.

abc: 4.102 4.102 10.877
angles: 90.00 90.00 90.00
Fractional positions:
Er1 0.500 0.000 0.227
Er2 0.000 0.500 0.773
Hf1 0.500 0.500 0.500
Si1 0.000 0.000 0.500
Si2 0.500 0.000 0.869
Si3 0.000 0.500 0.131
Pt1 0.500 0.500 0.000
Pt2 0.000 0.000 0.000
Pt3 0.500 0.000 0.651
Pt4 0.000 0.500 0.349

10.
Material: RbBaRhPb2
Method: DFT, PBE
State: optimized geometry

The value obtained for the total energy is -18.31 eV/cell. The value obtained for the energy of formation is -0.65 eV per formula unit. Its space-group type is P4/mmm.

abc: 5.519 5.519 5.852
angles: 90.00 90.00 90.00
Fractional positions:
Pb1 0.000 0.500 0.000
Pb2 0.500 0.000 0.000
Rh1 0.000 0.000 0.000
Ba1 0.000 0.000 0.500
Rb1 0.500 0.500 0.500

11.
Material: Sc3Co
Method: DFT, PBE
State: optimized geometry

The value obtained for the total energy is -214.20 eV/cell. The value obtained for the energy of formation is -0.67 eV per formula unit. Its space-group type is P4_2/n.

abc: 5.755 10.555 10.555
angles: 90.00 90.00 90.00
Fractional positions:
Sc1 0.051 0.286 0.842
Sc2 0.051 0.714 0.158
Sc3 0.551 0.658 0.786
Sc4 0.551 0.342 0.214
Sc5 0.449 0.214 0.658
Sc6 0.449 0.786 0.342
Sc7 0.949 0.842 0.714
Sc8 0.949 0.158 0.286
Sc9 0.559 0.365 0.915
Sc10 0.559 0.635 0.085
Sc11 0.059 0.585 0.865
Sc12 0.059 0.415 0.135
Sc13 0.941 0.135 0.585
Sc14 0.941 0.865 0.415
Sc15 0.441 0.915 0.635
Sc16 0.441 0.085 0.365
Sc17 0.723 0.059 0.867
Sc18 0.723 0.941 0.133
Sc19 0.223 0.633 0.559
Sc20 0.223 0.367 0.441
Sc21 0.777 0.441 0.633
Sc22 0.777 0.559 0.367
Sc23 0.277 0.867 0.941
Sc24 0.277 0.133 0.059
Co1 0.768 0.804 0.934
Co2 0.768 0.196 0.066
Co3 0.268 0.566 0.304
Co4 0.268 0.434 0.696
Co5 0.732 0.696 0.566
Co6 0.732 0.304 0.434
Co7 0.232 0.934 0.196
Co8 0.232 0.066 0.804

12.
Material: MgTc
Method: DFT, PBE
State: optimized geometry

The value obtained for the total energy is -23.10 eV/cell. The calculation puts the excess energy over the best structure of this formula in the dataset at 0.230 eV/atom. The value obtained for the energy of formation is 0.41 eV per formula unit. Its space-group type is C2/m.

abc: 2.816 4.659 5.253
angles: 94.30 90.00 107.59
Fractional positions:
Mg1 0.003 0.006 0.999
Mg2 0.247 0.494 0.751
Tc1 0.749 0.498 0.281
Tc2 0.501 0.002 0.469

13.
Material: Pr7DyEr12
Method: DFT, PBE
State: optimized geometry

The value obtained for the total energy is -79.88 eV/cell. The calculation puts the excess energy over the best structure of this formula in the dataset at 0.419 eV/atom. The value obtained for the energy of formation is 12.93 eV per formula unit. Its space-group type is Im-3m.

abc: 9.774 9.774 9.774
angles: 109.47 109.47 109.47
Fractional positions:
Pr1 0.500 0.500 0.000
Pr2 0.000 0.500 0.500
Pr3 0.500 0.000 0.500
Pr4 0.500 0.500 0.500
Pr5 0.000 0.000 0.500
Pr6 0.500 0.000 0.000
Pr7 0.000 0.500 0.000
Dy1 0.000 0.000 0.000
Er1 0.508 0.754 0.754
Er2 0.000 0.754 0.246
Er3 0.492 0.246 0.246
Er4 0.000 0.246 0.754
Er5 0.754 0.000 0.246
Er6 0.754 0.508 0.754
Er7 0.246 0.000 0.754
Er8 0.246 0.492 0.246
Er9 0.754 0.754 0.508
Er10 0.246 0.246 0.492
Er11 0.754 0.246 0.000
Er12 0.246 0.754 0.000

14.
Material: AcSmCdSb
Method: DFT, PBE
State: optimized geometry

The value obtained for the total energy is -16.02 eV/cell. Its energy relative to the elements, uncorrected is -0.54 eV/atom. Its space-group type is F-43m.

abc: 5.591 5.591 5.591
angles: 60.00 60.00 60.00
Fractional positions:
Sb1 0.250 0.250 0.250
Ac1 0.000 0.000 0.000
Sm1 0.500 0.500 0.500
Cd1 0.750 0.750 0.750

15.
Material: SrAc15Pr4
Method: DFT, PBE
State: optimized geometry

The value obtained for the total energy is -81.84 eV/cell. The value obtained for the energy of formation is 0.58 eV per formula unit. Its space-group type is P4/mmm.

abc: 5.596 5.596 27.809
angles: 90.00 90.00 90.00
Fractional positions:
Sr1 0.000 0.000 0.000
Ac1 0.500 0.500 0.000
Ac2 0.500 0.500 0.203
Ac3 0.500 0.500 0.401
Ac4 0.500 0.500 0.599
Ac5 0.500 0.500 0.797
Ac6 0.500 0.000 0.105
Ac7 0.500 0.000 0.302
Ac8 0.500 0.000 0.500
Ac9 0.500 0.000 0.698
Ac10 0.500 0.000 0.895
Ac11 0.000 0.500 0.105
Ac12 0.000 0.500 0.302
Ac13 0.000 0.500 0.500
Ac14 0.000 0.500 0.698
Ac15 0.000 0.500 0.895
Pr1 0.000 0.000 0.202
Pr2 0.000 0.000 0.401
Pr3 0.000 0.000 0.599
Pr4 0.000 0.000 0.798

16.
Material: BiAsPb2
Method: DFT, PBE
State: optimized geometry

The value obtained for the total energy is -30.20 eV/cell. The calculation puts the excess energy over the best structure of this formula in the dataset at 0.160 eV/atom. The value obtained for the energy of formation is 0.85 eV per formula unit. Its space-group type is I-42d.

abc: 6.995 6.995 8.373
angles: 65.31 65.31 90.00
Fractional positions:
Pb1 0.595 0.125 0.250
Pb2 0.155 0.625 0.250
Pb3 0.375 0.405 0.750
Pb4 0.875 0.845 0.750
As1 0.500 0.500 0.000
As2 0.250 0.750 0.500
Bi1 0.000 0.000 0.000
Bi2 0.750 0.250 0.500

17.
Material: K3ClF4
Method: DFT, PBE
State: optimized geometry

The value obtained for the total energy is -59.25 eV/cell. Its energy relative to the elements, uncorrected is -2.12 eV/atom. Its space-group type is Pmmn.

abc: 4.275 10.150 8.260
angles: 90.00 90.00 90.00
Last column: magnetic moment on the atom in μB.
Fractional positions:
K1 0.564 0.555 0.000  0.00
K2 0.064 0.861 0.206  0.00
K3 0.564 0.139 0.294  0.00
K4 0.064 0.445 0.500  0.00
K5 0.564 0.139 0.706  0.00
K6 0.064 0.861 0.794  0.00
Cl1 0.064 0.298 0.000  0.00
Cl2 0.564 0.702 0.500  0.00
F1 0.064 0.679 0.000  0.08
F2 0.564 0.977 0.000  0.07
F3 0.064 0.297 0.226  0.00
F4 0.564 0.703 0.274  0.00
F5 0.064 0.023 0.500  0.07
F6 0.564 0.321 0.500  0.08
F7 0.564 0.703 0.726  0.00
F8 0.064 0.297 0.774  0.00

18.
Material: TbPr4Ga5
Method: DFT, PBE
State: optimized geometry

The value obtained for the total energy is -44.42 eV/cell. The value obtained for the energy of formation is -5.54 eV per formula unit. Its space-group type is P4/mmm.

abc: 3.693 3.693 18.535
angles: 90.00 90.00 90.00
Fractional positions:
Tb1 0.000 0.000 0.000
Pr1 0.000 0.000 0.195
Pr2 0.000 0.000 0.398
Pr3 0.000 0.000 0.602
Pr4 0.000 0.000 0.805
Ga1 0.500 0.500 0.091
Ga2 0.500 0.500 0.296
Ga3 0.500 0.500 0.500
Ga4 0.500 0.500 0.704
Ga5 0.500 0.500 0.909

19.
Material: KCa
Method: DFT, PBE
State: optimized geometry

The value obtained for the total energy is -5.79 eV/cell. The value obtained for the energy of formation is 0.20 eV per formula unit. Its space-group type is P4/nmm.

abc: 4.050 4.050 13.162
angles: 90.00 90.00 90.00
Fractional positions:
Ca1 0.000 0.000 0.025
Ca2 0.500 0.500 0.225
K1 0.000 0.000 0.477
K2 0.500 0.500 0.773

20.
Material: Li4CeNd3S8
Method: DFT, PBE
State: optimized geometry

The value obtained for the total energy is -89.11 eV/cell. Its energy relative to the elements, uncorrected is -1.76 eV/atom. Its space-group type is R-3m.

abc: 8.122 7.779 8.120
angles: 121.49 120.01 90.00
Last column: magnetic moment on the atom in μB.
Fractional positions:
Li1 0.500 0.000 0.000  0.00
Li2 0.500 0.000 0.500  0.00
Li3 0.000 0.000 0.000  0.00
Li4 0.000 0.000 0.500  0.00
Ce1 0.000 0.500 0.000  0.86
Nd1 0.500 0.500 0.000  0.01
Nd2 0.500 0.500 0.500  0.01
Nd3 0.000 0.500 0.500  0.01
S1 0.252 0.757 0.005  -0.01
S2 0.252 0.757 0.503  -0.01
S3 0.247 0.242 0.495  0.00
S4 0.754 0.757 0.005  -0.01
S5 0.246 0.243 0.995  -0.01
S6 0.753 0.758 0.505  0.00
S7 0.748 0.243 0.497  -0.01
S8 0.748 0.243 0.995  -0.01